# 1
# LaCSe2Br | the Alexandria database | GGA-PBE | relaxed
# **Final energy**: -18.805 eV per cell
# **Spin magnetization**: 0.0 μB per cell
# **Offset from the most stable computed form**: 0.859 eV/atom
# **Uncorrected formation energy**: 0.798 eV/atom
data_LaCSe2Br
_cell_length_a 5.929
_cell_length_b 5.929
_cell_length_c 5.765
_cell_angle_alpha 90.00
_cell_angle_beta 90.00
_cell_angle_gamma 90.00
_symmetry_space_group_name_H-M 'P 1'
_symmetry_Int_Tables_number 1
loop_
_symmetry_equiv_pos_as_xyz
'x,y,z'
loop_
_atom_site_label
_atom_site_fract_x
_atom_site_fract_y
_atom_site_fract_z
_atom_site_occupancy
La1 0.000 0.000 0.000 1
C1 0.500 0.500 0.500 1
Se1 0.000 0.500 0.000 1
Se2 0.500 0.000 0.000 1
Br1 0.000 0.000 0.500 1

---

# 2
# La6C2SeBr3 | the Alexandria database | GGA-PBE | relaxed
# **Final energy**: -70.450 eV per cell
# **Spin magnetization**: 0.0 μB per cell
# **Uncorrected formation energy**: -1.161 eV/atom
data_La6C2SeBr3
_cell_length_a 7.019
_cell_length_b 7.019
_cell_length_c 7.896
_cell_angle_alpha 98.55
_cell_angle_beta 98.55
_cell_angle_gamma 120.00
_symmetry_space_group_name_H-M 'P 1'
_symmetry_Int_Tables_number 1
loop_
_symmetry_equiv_pos_as_xyz
'x,y,z'
loop_
_atom_site_label
_atom_site_fract_x
_atom_site_fract_y
_atom_site_fract_z
_atom_site_occupancy
La1 0.074 0.436 0.809 1
La2 0.201 0.201 0.190 1
La3 0.436 0.074 0.809 1
La4 0.564 0.926 0.191 1
La5 0.799 0.799 0.810 1
La6 0.926 0.564 0.191 1
C1 0.167 0.833 0.000 1
C2 0.833 0.167 0.000 1
Se1 0.500 0.500 0.000 1
Br1 0.000 0.000 0.500 1
Br2 0.339 0.661 0.500 1
Br3 0.661 0.339 0.500 1

---

# 3
# LaC2SeBr | the Alexandria database | GGA-PBE | relaxed
# **Final energy**: -20.280 eV per cell
# **Spin magnetization**: 0.9 μB per cell
# **Uncorrected formation energy**: 1.651 eV/atom
data_LaC2SeBr
_cell_length_a 4.389
_cell_length_b 4.389
_cell_length_c 5.102
_cell_angle_alpha 90.00
_cell_angle_beta 90.00
_cell_angle_gamma 90.00
_symmetry_space_group_name_H-M 'P 1'
_symmetry_Int_Tables_number 1
loop_
_symmetry_equiv_pos_as_xyz
'x,y,z'
loop_
_atom_site_label
_atom_site_fract_x
_atom_site_fract_y
_atom_site_fract_z
_atom_site_occupancy
La1 0.000 0.000 0.000 1
C1 0.000 0.500 0.500 1
C2 0.500 0.000 0.500 1
Se1 0.500 0.500 0.000 1
Br1 0.500 0.500 0.500 1

---

# 4
# La6Si2CBr3 | the Alexandria database | GGA-PBE | relaxed
# **Final energy**: -67.174 eV per cell
# **Spin magnetization**: 0.0 μB per cell
# **Uncorrected formation energy**: -1.043 eV/atom
data_La6Si2CBr3
_cell_length_a 7.297
_cell_length_b 7.297
_cell_length_c 7.945
_cell_angle_alpha 98.82
_cell_angle_beta 98.82
_cell_angle_gamma 119.93
_symmetry_space_group_name_H-M 'P 1'
_symmetry_Int_Tables_number 1
loop_
_symmetry_equiv_pos_as_xyz
'x,y,z'
loop_
_atom_site_label
_atom_site_fract_x
_atom_site_fract_y
_atom_site_fract_z
_atom_site_occupancy
La1 0.067 0.373 0.200 1
La2 0.238 0.238 0.798 1
La3 0.373 0.067 0.200 1
La4 0.627 0.933 0.800 1
La5 0.762 0.762 0.202 1
La6 0.933 0.627 0.800 1
Si1 0.334 0.666 0.000 1
Si2 0.666 0.334 0.000 1
C1 0.000 0.000 0.000 1
Br1 0.173 0.827 0.500 1
Br2 0.500 0.500 0.500 1
Br3 0.827 0.173 0.500 1

---

# 5
# LaSmCBr | the Alexandria database | GGA-PBE | relaxed
# **Final energy**: -72.460 eV per cell
# **Spin magnetization**: 0.0 μB per cell
# **Uncorrected formation energy**: -0.902 eV/atom
data_LaSmCBr
_cell_length_a 3.804
_cell_length_b 3.804
_cell_length_c 22.722
_cell_angle_alpha 90.00
_cell_angle_beta 90.00
_cell_angle_gamma 120.00
_symmetry_space_group_name_H-M 'P 1'
_symmetry_Int_Tables_number 1
loop_
_symmetry_equiv_pos_as_xyz
'x,y,z'
loop_
_atom_site_label
_atom_site_fract_x
_atom_site_fract_y
_atom_site_fract_z
_atom_site_occupancy
La1 0.000 0.000 0.000 1
La2 0.333 0.667 0.667 1
La3 0.667 0.333 0.333 1
Sm1 0.000 0.000 0.211 1
Sm2 0.333 0.667 0.878 1
Sm3 0.667 0.333 0.545 1
C1 0.000 0.000 0.603 1
C2 0.333 0.667 0.269 1
C3 0.667 0.333 0.936 1
Br1 0.000 0.000 0.778 1
Br2 0.333 0.667 0.445 1
Br3 0.667 0.333 0.112 1

---

# 6
# La2SmC2Br2 | the Alexandria database | GGA-PBE | relaxed
# **Final energy**: -82.174 eV per cell
# **Spin magnetization**: 0.0 μB per cell
# **Uncorrected formation energy**: -0.674 eV/atom
data_La2SmC2Br2
_cell_length_a 4.677
_cell_length_b 4.677
_cell_length_c 15.718
_cell_angle_alpha 90.00
_cell_angle_beta 90.00
_cell_angle_gamma 90.00
_symmetry_space_group_name_H-M 'P 1'
_symmetry_Int_Tables_number 1
loop_
_symmetry_equiv_pos_as_xyz
'x,y,z'
loop_
_atom_site_label
_atom_site_fract_x
_atom_site_fract_y
_atom_site_fract_z
_atom_site_occupancy
La1 0.000 0.000 0.100 1
La2 0.000 0.000 0.900 1
La3 0.500 0.500 0.400 1
La4 0.500 0.500 0.600 1
Sm1 0.000 0.000 0.500 1
Sm2 0.500 0.500 0.000 1
C1 0.000 0.500 0.000 1
C2 0.000 0.500 0.500 1
C3 0.500 0.000 0.000 1
C4 0.500 0.000 0.500 1
Br1 0.000 0.000 0.308 1
Br2 0.000 0.000 0.692 1
Br3 0.500 0.500 0.192 1
Br4 0.500 0.500 0.808 1

---

Q: Which formula does entry 5 have?
A: LaSmCBr